A relaxed structure of TbEr3Sc5. Source: Alexandria via LeMat-Bulk, functional PBE.

POSCAR file:
```
TbEr3Sc5
1.0
-4.153 4.153 7.096
4.153 -4.153 7.096
4.153 4.153 -7.096
Tb Er Sc
2 6 10
Cartesian
4.153 0.000 3.548
0.000 4.153 3.548
5.143 0.990 0.000
0.000 0.000 3.548
0.990 3.164 0.000
3.164 0.990 7.096
0.000 0.000 10.644
-0.990 3.164 7.096
0.000 0.000 0.000
2.452 1.701 -1.911
2.452 -1.701 5.186
2.452 1.701 1.911
2.452 -1.701 9.007
0.000 0.000 7.096
1.701 5.854 -1.911
1.701 2.452 5.186
1.701 5.854 1.911
1.701 2.452 9.007
```

Results
VASP energy: -94.63 eV/cell
Calculated density: 6.006 g/cm³
Formation energy: 28.53 kJ per mole of atoms